Entry 1:
DFT (PBE-GGA) results for a relaxed BeSbIr2 crystal.

The structure in CIF format:
```
data_BeSbIr2
_chemical_formula_sum 'Be1 Sb1 Ir2'
_cell_length_a 4.967
_cell_length_b 4.967
_cell_length_c 4.967
_cell_angle_alpha 135.29
_cell_angle_beta 135.29
_cell_angle_gamma 65.07
_symmetry_space_group_name_H-M 'P 1'
_symmetry_Int_Tables_number 1
loop_
_symmetry_equiv_pos_as_xyz
'x,y,z'
loop_
_atom_site_label
_atom_site_fract_x
_atom_site_fract_y
_atom_site_fract_z
Sb1 0.500 0.500 0.000
Ir1 0.000 0.000 0.000
Ir2 0.250 0.750 0.500
Be1 0.750 0.250 0.500
```

Results
For the uncorrected formation energy, the calculation gives 0.512 eV per formula unit.


Entry 2:
DFT (PBE-GGA) results for a relaxed BeSbIr2 crystal.

The structure in CIF format:
```
data_BeSbIr2
_chemical_formula_sum 'Be1 Sb1 Ir2'
_cell_length_a 3.008
_cell_length_b 2.990
_cell_length_c 7.192
_cell_angle_alpha 65.14
_cell_angle_beta 90.00
_cell_angle_gamma 90.00
_symmetry_space_group_name_H-M 'P 1'
_symmetry_Int_Tables_number 1
loop_
_symmetry_equiv_pos_as_xyz
'x,y,z'
loop_
_atom_site_label
_atom_site_fract_x
_atom_site_fract_y
_atom_site_fract_z
Sb1 0.500 0.250 0.250
Ir1 0.000 0.036 0.959
Ir2 0.000 0.464 0.541
Be1 0.500 0.750 0.750
```

Results
For the uncorrected formation energy, the calculation gives -0.129 eV per formula unit.


Entry 3:
DFT (PBE-GGA) results for a relaxed Be2SbIr crystal.

The structure in CIF format:
```
data_Be2SbIr
_chemical_formula_sum 'Be2 Sb1 Ir1'
_cell_length_a 4.182
_cell_length_b 4.182
_cell_length_c 5.650
_cell_angle_alpha 95.16
_cell_angle_beta 95.16
_cell_angle_gamma 42.06
_symmetry_space_group_name_H-M 'P 1'
_symmetry_Int_Tables_number 1
loop_
_symmetry_equiv_pos_as_xyz
'x,y,z'
loop_
_atom_site_label
_atom_site_fract_x
_atom_site_fract_y
_atom_site_fract_z
Sb1 0.173 0.173 0.309
Ir1 0.478 0.478 0.600
Be1 0.075 0.075 0.879
Be2 0.774 0.774 0.712
```

Results
For the uncorrected formation energy, the calculation gives -0.264 eV per formula unit.


Entry 4:
DFT (PBE-GGA) results for a relaxed BeSb2Ir4 crystal.

The structure in CIF format:
```
data_BeSb2Ir4
_chemical_formula_sum 'Be1 Sb2 Ir4'
_cell_length_a 4.210
_cell_length_b 4.210
_cell_length_c 7.382
_cell_angle_alpha 73.43
_cell_angle_beta 73.43
_cell_angle_gamma 90.00
_symmetry_space_group_name_H-M 'P 1'
_symmetry_Int_Tables_number 1
loop_
_symmetry_equiv_pos_as_xyz
'x,y,z'
loop_
_atom_site_label
_atom_site_fract_x
_atom_site_fract_y
_atom_site_fract_z
Sb1 0.647 0.647 0.707
Sb2 0.353 0.353 0.293
Ir1 0.841 0.841 0.318
Ir2 0.159 0.159 0.682
Ir3 0.000 0.500 0.000
Ir4 0.500 0.000 0.000
Be1 0.000 0.000 0.000
```

Results
For the uncorrected formation energy, the calculation gives 2.743 eV per formula unit.


Entry 5:
DFT (PBE-GGA) results for a relaxed Be2SbIr crystal.

The structure in CIF format:
```
data_Be2SbIr
_chemical_formula_sum 'Be2 Sb1 Ir1'
_cell_length_a 4.317
_cell_length_b 4.317
_cell_length_c 4.317
_cell_angle_alpha 60.00
_cell_angle_beta 60.00
_cell_angle_gamma 60.00
_symmetry_space_group_name_H-M 'P 1'
_symmetry_Int_Tables_number 1
loop_
_symmetry_equiv_pos_as_xyz
'x,y,z'
loop_
_atom_site_label
_atom_site_fract_x
_atom_site_fract_y
_atom_site_fract_z
Sb1 0.750 0.750 0.750
Ir1 0.500 0.500 0.500
Be1 0.000 0.000 0.000
Be2 0.250 0.250 0.250
```

Results
For the uncorrected formation energy, the calculation gives 1.412 eV per formula unit.


Entry 6:
DFT (PBE-GGA) results for a relaxed Be2SbIr crystal.

The structure in CIF format:
```
data_Be2SbIr
_chemical_formula_sum 'Be2 Sb1 Ir1'
_cell_length_a 3.924
_cell_length_b 3.932
_cell_length_c 3.527
_cell_angle_alpha 90.00
_cell_angle_beta 90.00
_cell_angle_gamma 90.00
_symmetry_space_group_name_H-M 'P 1'
_symmetry_Int_Tables_number 1
loop_
_symmetry_equiv_pos_as_xyz
'x,y,z'
loop_
_atom_site_label
_atom_site_fract_x
_atom_site_fract_y
_atom_site_fract_z
Sb1 0.000 0.500 0.500
Ir1 0.500 0.000 0.500
Be1 0.000 0.000 0.000
Be2 0.500 0.500 0.000
```

Results
For the uncorrected formation energy, the calculation gives 0.787 eV per formula unit.


Entry 7:
DFT (PBE-GGA) results for a relaxed Be2SbIr crystal.

The structure in CIF format:
```
data_Be2SbIr
_chemical_formula_sum 'Be2 Sb1 Ir1'
_cell_length_a 7.578
_cell_length_b 7.578
_cell_length_c 7.578
_cell_angle_alpha 23.19
_cell_angle_beta 23.19
_cell_angle_gamma 23.19
_symmetry_space_group_name_H-M 'P 1'
_symmetry_Int_Tables_number 1
loop_
_symmetry_equiv_pos_as_xyz
'x,y,z'
loop_
_atom_site_label
_atom_site_fract_x
_atom_site_fract_y
_atom_site_fract_z
Sb1 0.750 0.750 0.750
Ir1 0.250 0.250 0.250
Be1 0.988 0.988 0.988
Be2 0.512 0.512 0.512
```

Results
For the uncorrected formation energy, the calculation gives 0.993 eV per formula unit.


Entry 8:
DFT (PBE-GGA) results for a relaxed Be2SbIr crystal.

The structure in CIF format:
```
data_Be2SbIr
_chemical_formula_sum 'Be2 Sb1 Ir1'
_cell_length_a 3.060
_cell_length_b 3.059
_cell_length_c 6.225
_cell_angle_alpha 90.00
_cell_angle_beta 90.00
_cell_angle_gamma 90.00
_symmetry_space_group_name_H-M 'P 1'
_symmetry_Int_Tables_number 1
loop_
_symmetry_equiv_pos_as_xyz
'x,y,z'
loop_
_atom_site_label
_atom_site_fract_x
_atom_site_fract_y
_atom_site_fract_z
Sb1 0.500 0.500 0.775
Ir1 0.000 0.000 0.406
Be1 0.000 0.000 0.060
Be2 0.500 0.500 0.260
```

Results
For the uncorrected formation energy, the calculation gives 0.463 eV per formula unit.


Entry 9:
DFT (PBE-GGA) results for a relaxed BeSbIr crystal.

The structure in CIF format:
```
data_BeSbIr
_chemical_formula_sum 'Be1 Sb1 Ir1'
_cell_length_a 5.787
_cell_length_b 5.788
_cell_length_c 3.029
_cell_angle_alpha 74.82
_cell_angle_beta 74.84
_cell_angle_gamma 30.34
_symmetry_space_group_name_H-M 'P 1'
_symmetry_Int_Tables_number 1
loop_
_symmetry_equiv_pos_as_xyz
'x,y,z'
loop_
_atom_site_label
_atom_site_fract_x
_atom_site_fract_y
_atom_site_fract_z
Sb1 0.674 0.674 0.326
Ir1 0.373 0.373 0.627
Be1 0.953 0.953 0.047
```

Results
For the uncorrected formation energy, the calculation gives 0.200 eV per formula unit.


Entry 10:
DFT (PBE-GGA) results for a relaxed BeSbIr2 crystal.

The structure in CIF format:
```
data_BeSbIr2
_chemical_formula_sum 'Be1 Sb1 Ir2'
_cell_length_a 4.478
_cell_length_b 4.478
_cell_length_c 4.968
_cell_angle_alpha 75.46
_cell_angle_beta 75.46
_cell_angle_gamma 38.71
_symmetry_space_group_name_H-M 'P 1'
_symmetry_Int_Tables_number 1
loop_
_symmetry_equiv_pos_as_xyz
'x,y,z'
loop_
_atom_site_label
_atom_site_fract_x
_atom_site_fract_y
_atom_site_fract_z
Sb1 0.750 0.750 0.750
Ir1 0.977 0.977 0.025
Ir2 0.523 0.523 0.475
Be1 0.250 0.250 0.250
```

Results
For the uncorrected formation energy, the calculation gives 0.145 eV per formula unit.


Entry 11:
DFT (PBE-GGA) results for a relaxed BeSbIr2 crystal.

The structure in CIF format:
```
data_BeSbIr2
_chemical_formula_sum 'Be1 Sb1 Ir2'
_cell_length_a 2.896
_cell_length_b 2.896
_cell_length_c 8.764
_cell_angle_alpha 90.00
_cell_angle_beta 90.00
_cell_angle_gamma 118.67
_symmetry_space_group_name_H-M 'P 1'
_symmetry_Int_Tables_number 1
loop_
_symmetry_equiv_pos_as_xyz
'x,y,z'
loop_
_atom_site_label
_atom_site_fract_x
_atom_site_fract_y
_atom_site_fract_z
Sb1 0.000 0.000 0.502
Ir1 0.000 0.000 0.972
Ir2 0.500 0.500 0.240
Be1 0.500 0.500 0.786
```

Results
For the uncorrected formation energy, the calculation gives 1.937 eV per formula unit.


Entry 12:
DFT (PBE-GGA) results for a relaxed Be2SbIr crystal.

The structure in CIF format:
```
data_Be2SbIr
_chemical_formula_sum 'Be2 Sb1 Ir1'
_cell_length_a 4.208
_cell_length_b 4.208
_cell_length_c 4.850
_cell_angle_alpha 83.42
_cell_angle_beta 83.42
_cell_angle_gamma 43.88
_symmetry_space_group_name_H-M 'P 1'
_symmetry_Int_Tables_number 1
loop_
_symmetry_equiv_pos_as_xyz
'x,y,z'
loop_
_atom_site_label
_atom_site_fract_x
_atom_site_fract_y
_atom_site_fract_z
Sb1 0.250 0.250 0.250
Ir1 0.750 0.750 0.750
Be1 0.028 0.028 0.900
Be2 0.472 0.472 0.600
```

Results
For the uncorrected formation energy, the calculation gives 0.263 eV per formula unit.


Number 1: DOS(E_F) 3.3 states/eV per cell. Number 2: DOS(E_F) 2.2 states/eV per cell. Number 3: DOS(E_F) 1.0 states/eV per cell. Number 4: DOS(E_F) 8.2 states/eV per cell. Number 5: DOS(E_F) 1.5 states/eV per cell. Number 6: DOS(E_F) 1.7 states/eV per cell. Number 7: DOS(E_F) 1.4 states/eV per cell. Number 8: DOS(E_F) 1.0 states/eV per cell. Number 9: DOS(E_F) 1.1 states/eV per cell. Number 10: DOS(E_F) 2.9 states/eV per cell. Number 11: DOS(E_F) 3.0 states/eV per cell. Number 12: DOS(E_F) 1.4 states/eV per cell.